Compound: KPr2AsO5
Source: the Alexandria database
Functional: GGA-PBE
Structure: relaxed

## Properties
Its symmetry is I4/mcm. The total magnetization comes out at 0.0000 μB/atom. The raw formation energy comes out at -2.26 eV per atom.

Lattice parameters (Å, degrees): 6.9239 6.9239 7.7882 116.39 116.39 90.00
Positions (direct):
K: 0.7500 0.7500 0.5000
O: 0.4878 0.2631 0.2510
O: 0.7631 0.9878 0.2510
O: 0.5000 0.5000 0.0000
O: 0.0000 0.0000 0.0000
O: 0.2369 0.0122 0.7490
O: 0.9878 0.4878 0.2510
O: 0.2631 0.7631 0.2510
K: 0.2500 0.2500 0.5000
O: 0.0122 0.5122 0.7490
Pr: 0.6783 0.1783 0.0000
Pr: 0.3217 0.8217 0.0000
As: 0.2500 0.7500 0.5000
As: 0.7500 0.2500 0.5000
O: 0.5122 0.7369 0.7490
Pr: 0.8217 0.6783 0.0000
Pr: 0.1783 0.3217 0.0000
O: 0.7369 0.2369 0.7490